A plane-wave DFT calculation with PBE was carried out for an optimized crystal structure of ZnCd3Sn.

Results
Size of the total moment (μB/atom): 0.000
Density of states at the Fermi level (states/eV/atom): 0.516
DFT formation energy (kJ per mole of atoms): 29
Offset from the most stable computed form (eV/atom): 0.240

```
ZnCd3Sn
1.0
5.094 0.000 0.000
0.000 5.094 0.000
0.000 0.000 5.094
Zn Cd Sn
1 3 1
direct
0.000 0.000 0.000
0.000 0.000 0.500
0.000 0.500 0.000
0.500 0.000 0.000
0.500 0.500 0.500
```

***

A plane-wave DFT calculation with PBE was carried out for an optimized crystal structure of AcPr2Gd.

Results
Size of the total moment (μB/atom): 2.237
Density of states at the Fermi level (states/eV/atom): 1.897
DFT formation energy (kJ per mole of atoms): 12
Offset from the most stable computed form (eV/atom): 0.100

```
AcPr2Gd
1.0
0.000 4.219 4.219
4.219 0.000 4.219
4.219 4.219 0.000
Ac Pr Gd
1 2 1
direct
0.000 0.000 0.000
0.250 0.250 0.250
0.750 0.750 0.750
0.500 0.500 0.500
```